Zr4TcRh: optimized geometry, GGA-PBE.

abc: 5.552 5.552 5.552
angles: 60.00 60.00 60.00
Sites, in units of the cell vectors:
Zr 0.125 0.125 0.125
Zr 0.125 0.125 0.625
Zr 0.125 0.625 0.125
Zr 0.625 0.125 0.125
Tc 0.500 0.500 0.500
Rh 0.750 0.750 0.750

The polymorph energy (0 for the lowest one) is 973 meV per atom. The mass density comes out at 7.763 g/cm³. Its total DFT energy (no corrections) is -0.5944 Ry per atom. As for the symmetry: F-43m. The formation energy comes out at 0.56 eV/atom.